The following is a PBE calculation of a geometry-optimized SrGePbS4 structure, from Alexandria via LeMat-Bulk.

Calculated values
The calculation puts the spin magnetization at 0.00 μB per atom. The density of states at the Fermi level is 0.00 states/eV per cell. For the raw formation energy, the calculation gives -0.912 eV per atom.

a b c (Å): 6.8775 6.6873 8.2405
angles (deg): 90.00 107.81 90.00
Space group P2_1/m (No. 11)
Unique sites:
1 Sr 0.2351 0.2500 0.0584
2 Ge 0.2333 0.7500 0.7983
3 Pb 0.2405 0.2500 0.5627
4 S 0.0087 0.0040 0.7377
5 S 0.3979 0.7500 0.0754
6 S 0.4184 0.7500 0.6221

***

The following is a PBE calculation of a geometry-optimized CaMg2In2Ag2 structure, from Alexandria via LeMat-Bulk.

Calculated values
The calculation puts the spin magnetization at 0.00 μB per atom. The calculation puts the formation energy at -0.21 eV/atom. The density of states at the Fermi level is 9.59 states/eV per cell.

a b c (Å): 4.7291 4.7291 25.6591
angles (deg): 90.00 90.00 120.00
Space group R-3m (No. 166, hexagonal axes)
Unique sites:
1 Ca 0.0000 0.0000 0.0000
2 Mg 0.0000 0.0000 0.1382
3 In 0.0000 0.0000 0.2601
4 Ag 0.0000 0.0000 0.4415

***

The following is a PBE calculation of a geometry-optimized K2BeTl2 structure, from Alexandria via LeMat-Bulk.

Calculated values
The calculation puts the spin magnetization at 0.00 μB per atom. The value obtained for the relative energy among the computed polymorphs is 0.00 kJ/mol of atoms. The calculation puts the formation energy at 0.29 eV/atom. The density of states at the Fermi level is 5.62 states/eV per cell.

a b c (Å): 7.2239 7.2239 6.1332
angles (deg): 90.00 90.00 90.00
Space group P4/mbm (No. 127)
Unique sites:
1 K 0.1731 0.3269 0.0000
2 Be 0.0000 0.0000 0.5000
3 Tl 0.1700 0.6700 0.5000